No. 1
# YTl2Br5 (PBE-GGA, relaxed)
# ΔE_f (raw)	-1.327	eV/atom
# relative energy among the computed polymorphs	48	meV/atom
# N(E_F)	0.00	states/eV per cell
data_YTl2Br5
_chemical_formula_sum 'Y2 Tl4 Br10'
_symmetry_space_group_name_H-M 'C 1 m 1'
_symmetry_Int_Tables_number 8
_cell_length_a 14.5086
_cell_length_b 8.0903
_cell_length_c 8.0479
_cell_angle_alpha 90.00
_cell_angle_beta 123.22
_cell_angle_gamma 90.00
loop_
_symmetry_equiv_pos_as_xyz
'x,y,z'
'x,-y,z'
'x+1/2,y+1/2,z'
'x+1/2,-y+1/2,z'
loop_
_atom_site_label
_atom_site_type_symbol
_atom_site_fract_x
_atom_site_fract_y
_atom_site_fract_z
Y1 Y 0.0000 0.0000 0.0000
Tl1 Tl 0.1825 0.5000 0.2375
Tl2 Tl 0.1879 0.0000 0.6890
Br1 Br 0.0346 0.2319 0.2847
Br2 Br 0.0798 0.2357 0.8602
Br3 Br 0.2834 0.5000 0.7361

---

No. 2
# CeHo2Rh (PBE-GGA, relaxed)
# relative energy among the computed polymorphs	0	meV/atom
# energy relative to the elements	-472.9	meV per atom
# N(E_F)	31.08	states/eV per cell
data_CeHo2Rh
_chemical_formula_sum 'Ce4 Ho8 Rh4'
_symmetry_space_group_name_H-M 'P n m a'
_symmetry_Int_Tables_number 62
_cell_length_a 7.0611
_cell_length_b 9.5185
_cell_length_c 6.3797
_cell_angle_alpha 90.00
_cell_angle_beta 90.00
_cell_angle_gamma 90.00
loop_
_symmetry_equiv_pos_as_xyz
'x,y,z'
'-x,-y,-z'
'-x+1/2,-y,z+1/2'
'x+1/2,y,-z+1/2'
'x+1/2,-y+1/2,-z+1/2'
'-x+1/2,y+1/2,z+1/2'
'-x,y+1/2,-z'
'x,-y+1/2,z'
loop_
_atom_site_label
_atom_site_type_symbol
_atom_site_fract_x
_atom_site_fract_y
_atom_site_fract_z
Ce1 Ce 0.0389 0.2500 0.1463
Ho1 Ho 0.1779 0.0644 0.6667
Rh1 Rh 0.1275 0.7500 0.4553

---

No. 3
# DyHg2Pd6 (PBE-GGA, relaxed)
# energy relative to the elements	-411.4	meV per atom
# N(E_F)	6.91	states/eV per cell
data_DyHg2Pd6
_chemical_formula_sum 'Dy2 Hg4 Pd12'
_symmetry_space_group_name_H-M 'C 1 2/m 1'
_symmetry_Int_Tables_number 12
_cell_length_a 9.0882
_cell_length_b 4.2342
_cell_length_c 8.5971
_cell_angle_alpha 90.00
_cell_angle_beta 106.64
_cell_angle_gamma 90.00
loop_
_symmetry_equiv_pos_as_xyz
'x,y,z'
'-x,-y,-z'
'-x,y,-z'
'x,-y,z'
'x+1/2,y+1/2,z'
'-x+1/2,-y+1/2,-z'
'-x+1/2,y+1/2,-z'
'x+1/2,-y+1/2,z'
loop_
_atom_site_label
_atom_site_type_symbol
_atom_site_fract_x
_atom_site_fract_y
_atom_site_fract_z
Dy1 Dy 0.0000 0.0000 0.0000
Hg1 Hg 0.1893 0.5000 0.2402
Pd1 Pd 0.0135 0.0000 0.3367
Pd2 Pd 0.1574 0.5000 0.5531
Pd3 Pd 0.1567 0.5000 0.8833

---

No. 4
# Ac3TlP (PBE-GGA, relaxed)
# relative energy among the computed polymorphs	159	meV/atom
# energy relative to the elements	-549.0	meV per atom
# N(E_F)	2.73	states/eV per cell
data_Ac3TlP
_chemical_formula_sum 'Ac3 Tl1 P1'
_symmetry_space_group_name_H-M 'P m -3 m'
_symmetry_Int_Tables_number 221
_symmetry_space_group_name_Hall '-P 4 2 3'
_cell_length_a 5.8403
_cell_length_b 5.8403
_cell_length_c 5.8403
_cell_angle_alpha 90.00
_cell_angle_beta 90.00
_cell_angle_gamma 90.00
loop_
_atom_site_label
_atom_site_type_symbol
_atom_site_fract_x
_atom_site_fract_y
_atom_site_fract_z
Ac1 Ac 0.0000 0.0000 0.5000
Tl1 Tl 0.5000 0.5000 0.5000
P1 P 0.0000 0.0000 0.0000

---

No. 5
# Sm2Ho7Er2 (PBE-GGA, relaxed)
# relative energy among the computed polymorphs	6	meV/atom
# energy relative to the elements	163.1	meV per atom
# N(E_F)	33.80	states/eV per cell
data_Sm2Ho7Er2
_chemical_formula_sum 'Sm4 Ho14 Er4'
_symmetry_space_group_name_H-M 'C 1 2/m 1'
_symmetry_Int_Tables_number 12
_cell_length_a 11.1201
_cell_length_b 11.4927
_cell_length_c 6.0076
_cell_angle_alpha 90.00
_cell_angle_beta 113.21
_cell_angle_gamma 90.00
loop_
_symmetry_equiv_pos_as_xyz
'x,y,z'
'-x,-y,-z'
'-x,y,-z'
'x,-y,z'
'x+1/2,y+1/2,z'
'-x+1/2,-y+1/2,-z'
'-x+1/2,y+1/2,-z'
'x+1/2,-y+1/2,z'
loop_
_atom_site_label
_atom_site_type_symbol
_atom_site_fract_x
_atom_site_fract_y
_atom_site_fract_z
Sm1 Sm 0.0000 0.2145 0.0000
Ho1 Ho 0.0000 0.0000 0.5000
Ho2 Ho 0.1737 0.2358 0.6737
Ho3 Ho 0.2341 0.0000 0.0849
Er1 Er 0.0912 0.5000 0.3059

---

No. 6
# Mg2OsRu (PBE-GGA, relaxed)
# relative energy among the computed polymorphs	0	meV/atom
# energy relative to the elements	5.9	meV per atom
# N(E_F)	2.03	states/eV per cell
data_Mg2OsRu
_chemical_formula_sum 'Mg2 Os1 Ru1'
_symmetry_space_group_name_H-M 'P 4 m m'
_symmetry_Int_Tables_number 99
_cell_length_a 2.8932
_cell_length_b 2.8932
_cell_length_c 8.0488
_cell_angle_alpha 90.00
_cell_angle_beta 90.00
_cell_angle_gamma 90.00
loop_
_symmetry_equiv_pos_as_xyz
'x,y,z'
'-y,x,z'
'-x,-y,z'
'y,-x,z'
'-x,y,z'
'y,x,z'
'x,-y,z'
'-y,-x,z'
loop_
_atom_site_label
_atom_site_type_symbol
_atom_site_fract_x
_atom_site_fract_y
_atom_site_fract_z
Mg1 Mg 0.0000 0.0000 0.0000
Mg2 Mg 0.5000 0.5000 0.3265
Os1 Os 0.0000 0.0000 0.5656
Ru1 Ru 0.5000 0.5000 0.7634

---

No. 7
# Sm5Tl2Au (PBE-GGA, relaxed)
# energy relative to the elements	-393.5	meV per atom
# N(E_F)	20.99	states/eV per cell
data_Sm5Tl2Au
_chemical_formula_sum 'Sm10 Tl4 Au2'
_symmetry_space_group_name_H-M 'P b a m'
_symmetry_Int_Tables_number 55
_cell_length_a 6.9447
_cell_length_b 13.2651
_cell_length_c 5.1011
_cell_angle_alpha 90.00
_cell_angle_beta 90.00
_cell_angle_gamma 90.00
loop_
_symmetry_equiv_pos_as_xyz
'x,y,z'
'-x,-y,-z'
'-x,-y,z'
'x,y,-z'
'x+1/2,-y+1/2,-z'
'-x+1/2,y+1/2,z'
'-x+1/2,y+1/2,-z'
'x+1/2,-y+1/2,z'
loop_
_atom_site_label
_atom_site_type_symbol
_atom_site_fract_x
_atom_site_fract_y
_atom_site_fract_z
Sm1 Sm 0.0000 0.0000 0.0000
Sm2 Sm 0.1118 0.2798 0.0000
Sm3 Sm 0.1735 0.5982 0.5000
Tl1 Tl 0.1321 0.8500 0.5000
Au1 Au 0.0000 0.5000 0.0000

---

No. 8
# TbPm2Pr3Ho6 (PBE-GGA, relaxed)
# energy relative to the elements	14.8	meV per atom
# N(E_F)	27.42	states/eV per cell
data_TbPm2Pr3Ho6
_chemical_formula_sum 'Tb2 Pm4 Pr6 Ho12'
_symmetry_space_group_name_H-M 'C 1 2/m 1'
_symmetry_Int_Tables_number 12
_cell_length_a 6.2442
_cell_length_b 10.8129
_cell_length_c 11.8203
_cell_angle_alpha 90.00
_cell_angle_beta 100.10
_cell_angle_gamma 90.00
loop_
_symmetry_equiv_pos_as_xyz
'x,y,z'
'-x,-y,-z'
'-x,y,-z'
'x,-y,z'
'x+1/2,y+1/2,z'
'-x+1/2,-y+1/2,-z'
'-x+1/2,y+1/2,-z'
'x+1/2,-y+1/2,z'
loop_
_atom_site_label
_atom_site_type_symbol
_atom_site_fract_x
_atom_site_fract_y
_atom_site_fract_z
Tb1 Tb 0.0000 0.0000 0.0000
Pm1 Pm 0.0000 0.3335 0.0000
Pr1 Pr 0.0000 0.1667 0.5000
Pr2 Pr 0.0000 0.5000 0.5000
Ho1 Ho 0.2492 0.1665 0.2477
Ho2 Ho 0.2502 0.0000 0.7522